CeMg2ScCd4 | PBE | optimized geometry

a = 5.043 Å, b = 5.043 Å, c = 8.841 Å
α = 73.43°, β = 73.43°, γ = 60.00°
Last column: magnetic moment on the atom in μB.
Positions (direct):
1 Cd 0.130 0.130 0.611  0.00
2 Cd 0.382 0.382 0.855  0.01
3 Cd 0.870 0.870 0.389  0.00
4 Cd 0.618 0.618 0.145  0.01
5 Mg 0.249 0.249 0.252  0.00
6 Mg 0.751 0.751 0.748  0.00
7 Sc 0.500 0.500 0.500  -0.02
8 Ce 0.000 0.000 0.000  0.82

Computed properties:
final energy	-2.621	eV per atom
total magnetization	1.0	μB per cell
formation energy from the elements	-0.23	eV/atom